Record 1
U4Co12Ir | GGA-PBE | relaxed

Output
- formation energy (eV/atom) = -0.15
- SG = Im-3m (229)
- DOS at the Fermi energy (states/eV/cell) = 18.9

Cell lengths 6.723, 6.723, 6.723 Å; angles 109.47, 109.47, 109.47 degrees
Each line ends with the local moment (μB).
Sites, in units of the cell vectors:
U 0.000 0.500 0.000  -1.28
U 0.000 0.000 0.500  -1.28
U 0.500 0.500 0.500  -1.28
U 0.500 0.000 0.000  -1.28
Co 0.311 0.311 0.000  0.64
Co 0.689 0.689 0.000  0.64
Co 0.689 0.000 0.689  0.64
Co 0.311 0.000 0.311  0.64
Co 0.000 0.311 0.311  0.64
Co 0.000 0.689 0.689  0.64
Co 0.250 0.750 0.500  0.54
Co 0.750 0.250 0.500  0.54
Co 0.250 0.500 0.750  0.54
Co 0.750 0.500 0.250  0.54
Co 0.500 0.250 0.750  0.54
Co 0.500 0.750 0.250  0.54
Ir 0.000 0.000 0.000  0.56

***

Record 2
U2CoIr | GGA-PBE | relaxed

Output
- formation energy (eV/atom) = -0.15
- SG = R-3m (166)
- DOS at the Fermi energy (states/eV/cell) = 9.7

Cell lengths 3.826, 3.826, 6.721 Å; angles 73.46, 73.46, 60.00 degrees
Each line ends with the local moment (μB).
Sites, in units of the cell vectors:
Co 0.000 0.000 0.000  -0.31
Ir 0.500 0.500 0.500  -0.12
U 0.256 0.256 0.233  1.51
U 0.744 0.744 0.767  1.51

***

Record 3
UCo4Ir | GGA-PBE | relaxed

Output
- formation energy (eV/atom) = -0.14
- SG = F-43m (216)
- DOS at the Fermi energy (states/eV/cell) = 10.8

Cell lengths 4.855, 4.855, 4.855 Å; angles 60.00, 60.00, 60.00 degrees
Each line ends with the local moment (μB).
Sites, in units of the cell vectors:
Co 0.627 0.627 0.120  1.37
Co 0.627 0.120 0.627  1.37
Co 0.627 0.627 0.627  1.37
Co 0.120 0.627 0.627  1.37
Ir 0.000 0.000 0.000  0.53
U 0.250 0.250 0.250  -1.51

***

Record 4
U2CoIr9 | GGA-PBE | relaxed

Output
- formation energy (eV/atom) = -0.36
- SG = P4/mmm (123)
- DOS at the Fermi energy (states/eV/cell) = 12.8

Cell lengths 3.998, 3.998, 11.825 Å; angles 90.00, 90.00, 90.00 degrees
Each line ends with the local moment (μB).
Sites, in units of the cell vectors:
U 0.000 0.000 0.325  -0.01
U 0.000 0.000 0.675  -0.01
Co 0.000 0.000 0.000  1.92
Ir 0.500 0.500 0.000  0.27
Ir 0.500 0.500 0.329  0.02
Ir 0.500 0.500 0.671  0.02
Ir 0.500 0.000 0.156  0.14
Ir 0.500 0.000 0.500  0.00
Ir 0.500 0.000 0.844  0.14
Ir 0.000 0.500 0.156  0.14
Ir 0.000 0.500 0.500  0.00
Ir 0.000 0.500 0.844  0.14

***

Record 5
UVCoIr | GGA-PBE | relaxed

Output
- formation energy (eV/atom) = -0.10
- SG = F-43m (216)
- DOS at the Fermi energy (states/eV/cell) = 4.8

Cell lengths 4.398, 4.398, 4.398 Å; angles 60.00, 60.00, 60.00 degrees
Each line ends with the local moment (μB).
Sites, in units of the cell vectors:
Co 0.500 0.500 0.500  -0.37
Ir 0.750 0.750 0.750  -0.09
U 0.250 0.250 0.250  1.13
V 0.000 0.000 0.000  0.37

***

Record 6
UZnCoIr | GGA-PBE | relaxed

Output
- formation energy (eV/atom) = -0.20
- SG = F-43m (216)
- DOS at the Fermi energy (states/eV/cell) = 5.0

Cell lengths 4.529, 4.529, 4.529 Å; angles 60.00, 60.00, 60.00 degrees
Each line ends with the local moment (μB).
Sites, in units of the cell vectors:
Co 0.500 0.500 0.500  -0.53
Zn 0.750 0.750 0.750  0.01
Ir 0.000 0.000 0.000  -0.08
U 0.250 0.250 0.250  1.56